No. 1
# PBE-GGA LaAs2PtC, relaxed
data_LaAs2PtC
_chemical_formula_sum 'La1 As2 Pt1 C1'
_symmetry_space_group_name_H-M 'P 4/m m m'
_symmetry_Int_Tables_number 123
_symmetry_space_group_name_Hall '-P 4 2'
_cell_length_a 5.7627
_cell_length_b 5.7627
_cell_length_c 5.2502
_cell_angle_alpha 90.00
_cell_angle_beta 90.00
_cell_angle_gamma 90.00
loop_
_atom_site_label
_atom_site_type_symbol
_atom_site_fract_x
_atom_site_fract_y
_atom_site_fract_z
La1 La 0.0000 0.0000 0.0000
As1 As 0.0000 0.5000 0.0000
Pt1 Pt 0.0000 0.0000 0.5000
C1 C 0.5000 0.5000 0.5000
# Density of states at the Fermi level   7.3 states/eV per cell
# Energy relative to the elements   2.1509 eV/atom

No. 2
# PBE-GGA Er3Cu4Ge4, relaxed
data_Er3Cu4Ge4
_chemical_formula_sum 'Er3 Cu4 Ge4'
_symmetry_space_group_name_H-M 'P -1'
_symmetry_Int_Tables_number 2
_cell_length_a 3.9343
_cell_length_b 4.1213
_cell_length_c 12.5936
_cell_angle_alpha 99.32
_cell_angle_beta 98.99
_cell_angle_gamma 90.07
loop_
_symmetry_equiv_pos_as_xyz
'x,y,z'
'-x,-y,-z'
loop_
_atom_site_label
_atom_site_type_symbol
_atom_site_fract_x
_atom_site_fract_y
_atom_site_fract_z
Er1 Er 0.0000 0.0000 0.0000
Er2 Er 0.1493 0.6507 0.3000
Cu1 Cu 0.2525 0.2510 0.5037
Cu2 Cu 0.4050 0.9056 0.8093
Ge1 Ge 0.3080 0.8077 0.6170
Ge2 Ge 0.4492 0.4499 0.8988
# Density of states at the Fermi level   5.0 states/eV per cell
# Energy relative to the elements   -0.5729 eV/atom

No. 3
# PBE-GGA CaMg2CdHg2, relaxed
data_CaMg2CdHg2
_chemical_formula_sum 'Ca1 Mg2 Cd1 Hg2'
_symmetry_space_group_name_H-M 'P -3 m 1'
_symmetry_Int_Tables_number 164
_symmetry_space_group_name_Hall '-P 3 2"'
_cell_length_a 4.9682
_cell_length_b 4.9682
_cell_length_c 6.5929
_cell_angle_alpha 90.00
_cell_angle_beta 90.00
_cell_angle_gamma 120.00
loop_
_atom_site_label
_atom_site_type_symbol
_atom_site_fract_x
_atom_site_fract_y
_atom_site_fract_z
Ca1 Ca 0.0000 0.0000 0.0000
Mg1 Mg 0.3333 0.6667 0.6746
Cd1 Cd 0.0000 0.0000 0.5000
Hg1 Hg 0.3333 0.6667 0.2148
# Density of states at the Fermi level   3.4 states/eV per cell
# Energy relative to the elements   -0.3111 eV/atom

No. 4
# PBE-GGA Li4Cd3Ag, relaxed
data_Li4Cd3Ag
_chemical_formula_sum 'Li8 Cd6 Ag2'
_symmetry_space_group_name_H-M 'C 1 2/m 1'
_symmetry_Int_Tables_number 12
_cell_length_a 19.2518
_cell_length_b 3.1589
_cell_length_c 4.9188
_cell_angle_alpha 90.00
_cell_angle_beta 92.55
_cell_angle_gamma 90.00
loop_
_symmetry_equiv_pos_as_xyz
'x,y,z'
'-x,-y,-z'
'-x,y,-z'
'x,-y,z'
'x+1/2,y+1/2,z'
'-x+1/2,-y+1/2,-z'
'-x+1/2,y+1/2,-z'
'x+1/2,-y+1/2,z'
loop_
_atom_site_label
_atom_site_type_symbol
_atom_site_fract_x
_atom_site_fract_y
_atom_site_fract_z
Li1 Li 0.1228 0.0000 0.1430
Li2 Li 0.2486 0.5000 0.2503
Cd1 Cd 0.0000 0.5000 0.0000
Cd2 Cd 0.1319 0.5000 0.6429
Ag1 Ag 0.0000 0.0000 0.5000
# Density of states at the Fermi level   4.9 states/eV per cell
# Energy relative to the elements   -0.1646 eV/atom

No. 5
# PBE-GGA Zn2Ni3, relaxed
data_Zn2Ni3
_chemical_formula_sum 'Zn2 Ni3'
_symmetry_space_group_name_H-M 'P -3 m 1'
_symmetry_Int_Tables_number 164
_symmetry_space_group_name_Hall '-P 3 2"'
_cell_length_a 3.9464
_cell_length_b 3.9464
_cell_length_c 4.8895
_cell_angle_alpha 90.00
_cell_angle_beta 90.00
_cell_angle_gamma 120.00
loop_
_atom_site_label
_atom_site_type_symbol
_atom_site_fract_x
_atom_site_fract_y
_atom_site_fract_z
Zn1 Zn 0.3333 0.6667 0.3330
Ni1 Ni 0.0000 0.0000 0.5000
Ni2 Ni 0.3333 0.6667 0.8480
# Density of states at the Fermi level   3.2 states/eV per cell
# Energy relative to the elements   0.0847 eV/atom

No. 6
# PBE-GGA MgSc3Hg4, relaxed
data_MgSc3Hg4
_chemical_formula_sum 'Mg1 Sc3 Hg4'
_symmetry_space_group_name_H-M 'P 4/m m m'
_symmetry_Int_Tables_number 123
_symmetry_space_group_name_Hall '-P 4 2'
_cell_length_a 4.9162
_cell_length_b 4.9162
_cell_length_c 7.1065
_cell_angle_alpha 90.00
_cell_angle_beta 90.00
_cell_angle_gamma 90.00
loop_
_atom_site_label
_atom_site_type_symbol
_atom_site_fract_x
_atom_site_fract_y
_atom_site_fract_z
Mg1 Mg 0.0000 0.0000 0.0000
Sc1 Sc 0.0000 0.0000 0.5000
Sc2 Sc 0.5000 0.5000 0.0000
Sc3 Sc 0.5000 0.5000 0.5000
Hg1 Hg 0.0000 0.5000 0.2464
# Density of states at the Fermi level   4.5 states/eV per cell
# Energy relative to the elements   -0.4085 eV/atom

No. 7
# PBE-GGA FeCu4Tc, relaxed
data_FeCu4Tc
_chemical_formula_sum 'Fe4 Cu16 Tc4'
_symmetry_space_group_name_H-M 'F -4 3 m'
_symmetry_Int_Tables_number 216
_symmetry_space_group_name_Hall 'F -4 2 3'
_cell_length_a 6.6972
_cell_length_b 6.6972
_cell_length_c 6.6972
_cell_angle_alpha 90.00
_cell_angle_beta 90.00
_cell_angle_gamma 90.00
loop_
_atom_site_label
_atom_site_type_symbol
_atom_site_fract_x
_atom_site_fract_y
_atom_site_fract_z
Fe1 Fe 0.0000 0.0000 0.0000
Cu1 Cu 0.1251 0.1251 0.3749
Tc1 Tc 0.2500 0.2500 0.7500
# Density of states at the Fermi level   18.2 states/eV per cell
# Energy relative to the elements   0.3108 eV/atom

No. 8
# PBE-GGA KTcPt2, relaxed
data_KTcPt2
_chemical_formula_sum 'K2 Tc2 Pt4'
_symmetry_space_group_name_H-M 'I -4 m 2'
_symmetry_Int_Tables_number 119
_symmetry_space_group_name_Hall 'I -4 -2'
_cell_length_a 4.1557
_cell_length_b 4.1557
_cell_length_c 8.4492
_cell_angle_alpha 90.00
_cell_angle_beta 90.00
_cell_angle_gamma 90.00
loop_
_atom_site_label
_atom_site_type_symbol
_atom_site_fract_x
_atom_site_fract_y
_atom_site_fract_z
K1 K 0.0000 0.0000 0.0000
Tc1 Tc 0.0000 0.5000 0.2500
Pt1 Pt 0.0000 0.0000 0.5000
Pt2 Pt 0.0000 0.5000 0.7500
# Density of states at the Fermi level   8.4 states/eV per cell
# Energy relative to the elements   0.8639 eV/atom

No. 9
# PBE-GGA RbPmS2, relaxed
data_RbPmS2
_chemical_formula_sum 'Rb3 Pm3 S6'
_symmetry_space_group_name_H-M 'R -3 m'
_symmetry_Int_Tables_number 166
_symmetry_space_group_name_Hall '-R 3 2"'
_cell_length_a 4.1939
_cell_length_b 4.1939
_cell_length_c 23.1452
_cell_angle_alpha 90.00
_cell_angle_beta 90.00
_cell_angle_gamma 120.00
loop_
_atom_site_label
_atom_site_type_symbol
_atom_site_fract_x
_atom_site_fract_y
_atom_site_fract_z
Rb1 Rb 0.0000 0.0000 0.0000
Pm1 Pm 0.0000 0.0000 0.5000
S1 S 0.0000 0.0000 0.2321
# Uncorrected formation energy   -708 kJ/mol of formula units
# Density of states at the Fermi level   0.0 states/eV per cell

No. 10
# PBE-GGA Sc2HgSb2, relaxed
data_Sc2HgSb2
_chemical_formula_sum 'Sc4 Hg2 Sb4'
_symmetry_space_group_name_H-M 'P 4/m b m'
_symmetry_Int_Tables_number 127
_symmetry_space_group_name_Hall '-P 4 2ab'
_cell_length_a 7.9702
_cell_length_b 7.9702
_cell_length_c 3.8608
_cell_angle_alpha 90.00
_cell_angle_beta 90.00
_cell_angle_gamma 90.00
loop_
_atom_site_label
_atom_site_type_symbol
_atom_site_fract_x
_atom_site_fract_y
_atom_site_fract_z
Sc1 Sc 0.1455 0.3545 0.0000
Hg1 Hg 0.0000 0.0000 0.0000
Sb1 Sb 0.1567 0.6567 0.5000
# Uncorrected formation energy   -299 kJ/mol of formula units
# Density of states at the Fermi level   2.1 states/eV per cell

No. 11
# PBE-GGA LaPbCl3, relaxed
data_LaPbCl3
_chemical_formula_sum 'La1 Pb1 Cl3'
_symmetry_space_group_name_H-M 'P m -3 m'
_symmetry_Int_Tables_number 221
_symmetry_space_group_name_Hall '-P 4 2 3'
_cell_length_a 5.6196
_cell_length_b 5.6196
_cell_length_c 5.6196
_cell_angle_alpha 90.00
_cell_angle_beta 90.00
_cell_angle_gamma 90.00
loop_
_atom_site_label
_atom_site_type_symbol
_atom_site_fract_x
_atom_site_fract_y
_atom_site_fract_z
La1 La 0.0000 0.0000 0.0000
Pb1 Pb 0.5000 0.5000 0.5000
Cl1 Cl 0.0000 0.5000 0.5000
# Uncorrected formation energy   -343 kJ/mol of formula units
# Density of states at the Fermi level   8.0 states/eV per cell

No. 12
# PBE-GGA NbGaRh2, relaxed
data_NbGaRh2
_chemical_formula_sum 'Nb2 Ga2 Rh4'
_symmetry_space_group_name_H-M 'C 1 m 1'
_symmetry_Int_Tables_number 8
_cell_length_a 5.0054
_cell_length_b 2.8999
_cell_length_c 8.6318
_cell_angle_alpha 90.00
_cell_angle_beta 101.06
_cell_angle_gamma 90.00
loop_
_symmetry_equiv_pos_as_xyz
'x,y,z'
'x,-y,z'
'x+1/2,y+1/2,z'
'x+1/2,-y+1/2,z'
loop_
_atom_site_label
_atom_site_type_symbol
_atom_site_fract_x
_atom_site_fract_y
_atom_site_fract_z
Nb1 Nb 0.0000 0.0000 0.0000
Ga1 Ga 0.3341 0.5000 0.5007
Rh1 Rh 0.0776 0.5000 0.7354
Rh2 Rh 0.4225 0.0000 0.2656
# Density of states at the Fermi level   6.4 states/eV per cell
# Energy relative to the elements   -0.3806 eV/atom